Below is an optimized crystal structure of MnTeSeN2, with properties calculated at the PBE level.

Offset from the most stable computed form in eV per atom: 0.491
Size of the total moment in μB per formula unit: 4.97
Uncorrected formation energy in kcal/mol of atoms: 28.81
DFT total energy in eV per atom: -5.240

a b c (Å): 3.9545 3.9545 5.8563
angles (deg): 90.00 90.00 90.00
With the nearest neighbours (Å) after each atom.
Fractional positions:
Mn (0.0000, 0.0000, 0.0000)  4 Se 2.80
Te (0.5000, 0.5000, 0.5000)  4 N 1.98
Se (0.5000, 0.5000, 0.0000)  4 Mn 2.80, 2 Te 2.93
N (0.0000, 0.5000, 0.5000)  2 Te 1.98
N (0.5000, 0.0000, 0.5000)  2 Te 1.98